Compound: BHRu2Se
Source: Alexandria
Functional: GGA-PBE
Structure: optimized geometry

POSCAR file:
```
BHRu2Se
1.0
-4.538 -0.673 -0.387
0.657 -3.089 -2.331
0.095 -2.760 3.684
B Ru H Se
1 2 1 1
direct
0.000 0.500 0.000
0.500 0.000 0.000
0.000 0.000 0.500
0.500 0.500 0.500
0.000 0.000 0.000
```

Computed properties:
N(E_F): 5.2 states/eV/cell
VASP energy: -22.176 eV per cell
Space group: P4/mmm, No. 123
Crystal system: tetragonal